Entry 1:
Compound: K4Zn5P6
Source: Alexandria
Functional: PBE
Structure: relaxed

Lattice parameters (Å, degrees): 9.644 9.644 17.782 90.00 90.00 155.32
Element x y z (fractional)
K: 0.011 0.989 0.624
K: 0.011 0.989 0.876
K: 0.188 0.812 0.569
K: 0.188 0.812 0.931
K: 0.812 0.188 0.069
K: 0.812 0.188 0.431
K: 0.989 0.011 0.124
K: 0.989 0.011 0.376
Zn: 0.117 0.883 0.250
Zn: 0.263 0.737 0.250
Zn: 0.375 0.625 0.626
Zn: 0.375 0.625 0.874
Zn: 0.416 0.584 0.250
Zn: 0.584 0.416 0.750
Zn: 0.625 0.375 0.126
Zn: 0.625 0.375 0.374
Zn: 0.737 0.263 0.750
Zn: 0.883 0.117 0.750
P: 0.150 0.850 0.750
P: 0.192 0.808 0.134
P: 0.192 0.808 0.366
P: 0.444 0.556 0.504
P: 0.444 0.556 0.996
P: 0.455 0.545 0.750
P: 0.545 0.455 0.250
P: 0.556 0.444 0.004
P: 0.556 0.444 0.496
P: 0.808 0.192 0.634
P: 0.808 0.192 0.866
P: 0.850 0.150 0.250

Properties
- Calculated total energy: -3.175 eV per atom
- Energy of formation from the pure elements: -0.294 eV per atom

***

Entry 2:
Compound: K2ZnP
Source: Alexandria
Functional: PBE
Structure: relaxed

Lattice parameters (Å, degrees): 5.755 5.755 3.579 90.07 90.07 90.11
Element x y z (fractional)
K: 0.000 0.500 0.000
K: 0.500 0.000 0.000
Zn: 0.000 0.000 0.500
P: 0.500 0.500 0.500

Properties
- Energy relative to the lowest polymorph listed for this composition: 0.3591 eV/atom
- Calculated total energy: -2.067 eV per atom
- Energy of formation from the pure elements: 0.153 eV per atom

***

Q: calculated total energy of number 1 (K4Zn5P6)?
A: -3.175 eV per atom

***

Q: The highest energy of formation from the pure elements belongs to which entry?
A: K2ZnP